# 1
Entry from the Open Quantum Materials Database: a geometry-optimized HfCuNiBi structure (GGA-PBE).

The space group is F-43m (No. 216) and the conventional cell measures 6.542, 6.542 and 6.542 Å, with angles of 90.00, 90.00 and 90.00 degrees. The distinct sites, in fractional coordinates, are Hf at (0.000, 0.000, 0.000), Cu at (0.250, 0.250, 0.750), Ni at (0.250, 0.250, 0.250) and Bi at (0.000, 0.000, 0.500).

The value obtained for the total DFT energy (no corrections) is -0.2132 hartree per atom.


# 2
Entry from the Open Quantum Materials Database: a geometry-optimized PaPPbO structure (GGA-PBE).

The space group is P4/nmm (No. 129, origin choice 2) and the conventional cell measures 4.453, 4.453 and 8.845 Å, with angles of 90.00, 90.00 and 90.00 degrees. The distinct sites, in fractional coordinates, are Pa at (0.250, 0.750, 0.000), P at (0.250, 0.250, 0.190), Pb at (0.250, 0.250, 0.613) and O at (0.250, 0.750, 0.500).

The value obtained for the total DFT energy (no corrections) is -0.2178 hartree per atom.


# 3
Entry from the Open Quantum Materials Database: a geometry-optimized ZrCuSiAg structure (GGA-PBE).

The space group is F-43m (No. 216) and the conventional cell measures 6.420, 6.420 and 6.420 Å, with angles of 90.00, 90.00 and 90.00 degrees. The distinct sites, in fractional coordinates, are Zr at (0.000, 0.000, 0.000), Cu at (0.250, 0.250, 0.750), Si at (0.000, 0.000, 0.500) and Ag at (0.250, 0.250, 0.250).

The value obtained for the total DFT energy (no corrections) is -0.1867 hartree per atom.